# 1
BaLaMnRuO6 | Alexandria via LeMat-Bulk | GGA+U | relaxed; density of states at the Fermi level = 1.42 states/eV per cell; E = -7.462 eV/atom; offset from the most stable computed form = 4 meV/atom; crystal system = monoclinic
1.0
-4.666 0.498 -3.331
-3.157 -4.661 -1.195
-5.297 -0.583 2.335
O La Mn Ru Ba
6 1 1 1 1
Cartesian
-2.969 -1.112 -0.588 O
-8.204 -1.400 -1.387 O
-10.397 -3.665 -1.503 O
-5.515 -0.659 -1.965 O
-7.471 -3.906 -0.349 O
-4.691 -3.473 -0.800 O
-7.291 -3.280 -2.769 La
-3.928 -2.090 -2.272 Mn
-2.646 -0.294 1.160 Ru
-5.927 -1.480 0.615 Ba


# 2
BaLaMnRuO6 | Alexandria via LeMat-Bulk | GGA+U | relaxed; density of states at the Fermi level = 2.32 states/eV per cell; E = -7.466 eV/atom; offset from the most stable computed form = 0 meV/atom; crystal system = monoclinic
1.0
-0.308 -3.983 -4.254
2.829 -3.774 3.328
-4.290 -6.405 6.306
O Mn La Ru Ba
12 2 2 2 2
Cartesian
-0.644 -9.998 1.443 O
1.037 -5.515 3.327 O
-2.769 -6.391 4.119 O
-1.111 -6.340 1.793 O
-0.405 -8.039 3.975 O
-1.280 -10.948 4.097 O
-3.239 -9.323 5.180 O
-3.679 -11.161 2.873 O
1.805 -2.855 2.500 O
-1.238 -4.139 3.800 O
-0.773 -5.118 -1.095 O
1.707 -5.257 0.373 O
-2.365 -6.144 -0.009 Mn
-4.361 -7.427 5.194 Mn
0.778 -7.540 0.642 La
-1.186 -8.397 6.301 La
1.180 -4.877 -1.527 Ru
-0.810 -6.084 3.757 Ru
-0.439 -3.617 1.270 Ba
-2.726 -8.665 2.452 Ba


# 3
BaLaMnSbO6 | Alexandria via LeMat-Bulk | GGA+U | relaxed; density of states at the Fermi level = 0.00 states/eV per cell; E = -7.167 eV/atom; crystal system = tetragonal
1.0
5.798 0.000 0.000
-2.899 5.089 0.001
0.000 3.302 4.766
Sb O Mn Ba La
1 6 1 1 1
Cartesian
0.000 0.000 0.000 Sb
4.746 1.128 1.311 O
1.179 7.644 4.006 O
0.000 4.958 3.620 O
2.899 3.434 1.148 O
-1.179 5.540 0.969 O
1.052 2.471 3.250 O
2.899 1.651 2.383 Mn
2.899 5.021 3.576 Ba
0.000 3.370 1.192 La


# 4
BaLaSmMn3O9 | Alexandria via LeMat-Bulk | GGA+U | relaxed; density of states at the Fermi level = 1.95 states/eV per cell; E = -7.619 eV/atom; crystal system = trigonal
1.0
2.810 -4.867 0.000
2.810 4.867 0.000
0.000 0.000 13.513
O Mn Sm Ba La
18 6 2 2 2
Cartesian
1.471 -2.547 0.000 O
2.972 0.000 6.756 O
1.471 2.547 0.000 O
2.386 -3.200 4.430 O
2.386 3.200 9.083 O
3.160 3.194 2.373 O
1.656 -0.466 4.430 O
4.388 -1.201 4.430 O
1.656 0.466 9.083 O
3.996 -0.534 11.140 O
4.388 1.201 9.083 O
1.324 -2.293 6.756 O
2.678 0.000 0.000 O
1.274 -1.139 11.140 O
3.996 0.534 2.373 O
1.324 2.293 6.756 O
1.274 1.139 2.373 O
3.160 -3.194 11.140 O
2.810 -1.622 5.645 Mn
0.000 0.000 3.404 Mn
0.000 0.000 10.108 Mn
2.810 1.622 1.131 Mn
2.810 -1.622 12.382 Mn
2.810 1.622 7.867 Mn
2.810 -1.622 9.059 Sm
2.810 1.622 4.454 Sm
0.000 0.000 6.756 Ba
0.000 0.000 0.000 Ba
2.810 -1.622 2.285 La
2.810 1.622 11.228 La


> The lowest E belongs to which entry?

BaLaSmMn3O9